Here is a relaxed structure of PmVSi2O8 from Alexandria. Energies are from PBE with a Hubbard U.

Results
- E_tot (eV for the cell shown) = -92.8
- symmetry = P-3m1 (164)
- total magnetic moment (Bohr magnetons per cell) = 0.000

Lattice parameters (Å, degrees): 5.1946 5.1946 6.4951 90.00 90.00 120.00
Sites, in units of the cell vectors:
Pm 0.0000 0.0000 0.0000
V 0.0000 0.0000 0.5000
Si 0.3333 0.6667 0.2324
Si 0.6667 0.3333 0.7676
O 0.1621 0.3243 0.3196
O 0.1621 0.8379 0.3196
O 0.3243 0.1621 0.6804
O 0.3333 0.6667 0.9858
O 0.6667 0.3333 0.0142
O 0.6757 0.8379 0.3196
O 0.8379 0.1621 0.6804
O 0.8379 0.6757 0.6804